# 1
Density functional theory data (PBE) for a relaxed CoSi2Pt crystal.

a b c (Å): 6.444 6.444 6.444
angles (deg): 131.98 131.98 70.27
Element x y z (fractional)
Co (0.000, 0.000, 0.000)
Co (0.750, 0.250, 0.500)
Si (0.100, 0.625, 0.975)
Si (0.375, 0.350, 0.475)
Si (0.650, 0.125, 0.025)
Si (0.875, 0.900, 0.525)
Pt (0.250, 0.750, 0.500)
Pt (0.500, 0.500, 0.000)

Values from the calculation:
**Raw formation energy**: -0.039 eV/atom
**ΔE to the lowest computed polymorph**: 453 meV per atom
**Symmetry**: I-42d, No. 122
**Spin magnetization**: 0.000 Bohr magnetons per cell

***

# 2
Density functional theory data (PBE) for a relaxed Co2SiPt crystal.

a b c (Å): 8.061 8.061 8.061
angles (deg): 19.15 19.15 19.15
Element x y z (fractional)
Co (0.241, 0.241, 0.241)
Co (0.759, 0.759, 0.759)
Si (0.500, 0.500, 0.500)
Pt (0.000, 0.000, 0.000)

Values from the calculation:
**Raw formation energy**: -0.199 eV/atom
**Symmetry**: R-3m, No. 166
**Spin magnetization**: 1.744 Bohr magnetons per cell

***

# 3
Density functional theory data (PBE) for a relaxed CoSiPt3 crystal.

a b c (Å): 4.566 4.566 4.566
angles (deg): 90.00 90.00 90.00
Element x y z (fractional)
Co (0.000, 0.000, 0.000)
Si (0.500, 0.500, 0.500)
Pt (0.000, 0.000, 0.500)
Pt (0.000, 0.500, 0.000)
Pt (0.500, 0.000, 0.000)

Values from the calculation:
**Raw formation energy**: 1.012 eV/atom
**ΔE to the lowest computed polymorph**: 519 meV per atom
**Symmetry**: Pm-3m, No. 221
**Spin magnetization**: 3.090 Bohr magnetons per cell

***

# 4
Density functional theory data (PBE) for a relaxed Co2SiPt crystal.

a b c (Å): 4.130 4.130 4.130
angles (deg): 60.00 60.00 60.00
Element x y z (fractional)
Co (0.000, 0.000, 0.000)
Co (0.250, 0.250, 0.250)
Si (0.750, 0.750, 0.750)
Pt (0.500, 0.500, 0.500)

Values from the calculation:
**Raw formation energy**: -0.175 eV/atom
**Symmetry**: F-43m, No. 216
**Spin magnetization**: 2.927 Bohr magnetons per cell

***

# 5
Density functional theory data (PBE) for a relaxed CoSi2Pt crystal.

a b c (Å): 4.299 4.299 4.151
angles (deg): 105.02 105.02 45.08
Element x y z (fractional)
Co (0.000, 0.000, 0.000)
Si (0.277, 0.277, 0.931)
Si (0.508, 0.508, 0.593)
Pt (0.764, 0.764, 0.394)

Values from the calculation:
**Raw formation energy**: -0.442 eV/atom
**ΔE to the lowest computed polymorph**: 49 meV per atom
**Symmetry**: Cm, No. 8
**Spin magnetization**: 0.000 Bohr magnetons per cell

***

# 6
Density functional theory data (PBE) for a relaxed Co2SiPt crystal.

a b c (Å): 4.406 4.406 4.406
angles (deg): 130.19 130.19 73.10
Element x y z (fractional)
Co (0.000, 0.000, 0.000)
Co (0.750, 0.250, 0.500)
Si (0.500, 0.500, 0.000)
Pt (0.250, 0.750, 0.500)

Values from the calculation:
**Raw formation energy**: -0.308 eV/atom
**Symmetry**: I-4m2, No. 119
**Spin magnetization**: 2.305 Bohr magnetons per cell

***

# 7
Density functional theory data (PBE) for a relaxed CoSi2Pt crystal.

a b c (Å): 4.730 4.730 4.730
angles (deg): 135.67 135.67 64.49
Element x y z (fractional)
Co (0.000, 0.000, 0.000)
Si (0.500, 0.500, 0.000)
Si (0.750, 0.250, 0.500)
Pt (0.250, 0.750, 0.500)

Values from the calculation:
**Raw formation energy**: -0.267 eV/atom
**ΔE to the lowest computed polymorph**: 224 meV per atom
**Symmetry**: I-4m2, No. 119
**Spin magnetization**: 0.000 Bohr magnetons per cell

***

# 8
Density functional theory data (PBE) for a relaxed CoSi2Pt crystal.

a b c (Å): 4.169 4.169 4.169
angles (deg): 60.00 60.00 60.00
Element x y z (fractional)
Co (0.000, 0.000, 0.000)
Si (0.250, 0.250, 0.250)
Si (0.750, 0.750, 0.750)
Pt (0.500, 0.500, 0.500)

Values from the calculation:
**Raw formation energy**: -0.218 eV/atom
**ΔE to the lowest computed polymorph**: 273 meV per atom
**Symmetry**: Fm-3m, No. 225
**Spin magnetization**: 0.000 Bohr magnetons per cell

***

# 9
Density functional theory data (PBE) for a relaxed CoSi2Pt2 crystal.

a b c (Å): 6.322 6.322 3.460
angles (deg): 90.00 90.00 90.00
Element x y z (fractional)
Co (0.000, 0.000, 0.000)
Co (0.500, 0.500, 0.000)
Si (0.147, 0.353, 0.000)
Si (0.353, 0.853, 0.000)
Si (0.647, 0.147, 0.000)
Si (0.853, 0.647, 0.000)
Pt (0.157, 0.657, 0.500)
Pt (0.343, 0.157, 0.500)
Pt (0.657, 0.843, 0.500)
Pt (0.843, 0.343, 0.500)

Values from the calculation:
**Raw formation energy**: -0.296 eV/atom
**Symmetry**: P4/mbm, No. 127
**Spin magnetization**: 0.993 Bohr magnetons per cell

***

# 10
Density functional theory data (PBE) for a relaxed Co2SiPt crystal.

a b c (Å): 9.062 9.062 9.062
angles (deg): 157.48 157.48 32.05
Element x y z (fractional)
Co (0.088, 0.625, 0.963)
Co (0.375, 0.338, 0.463)
Co (0.662, 0.125, 0.037)
Co (0.875, 0.912, 0.537)
Si (0.000, 0.000, 0.000)
Si (0.750, 0.250, 0.500)
Pt (0.250, 0.750, 0.500)
Pt (0.500, 0.500, 0.000)

Values from the calculation:
**Raw formation energy**: 0.070 eV/atom
**Symmetry**: I-42d, No. 122
**Spin magnetization**: 5.768 Bohr magnetons per cell

***

# 11
Density functional theory data (PBE) for a relaxed CoSi2Pt crystal.

a b c (Å): 7.746 7.746 7.746
angles (deg): 20.88 20.88 20.88
Element x y z (fractional)
Co (0.000, 0.000, 0.000)
Si (0.258, 0.258, 0.258)
Si (0.742, 0.742, 0.742)
Pt (0.500, 0.500, 0.500)

Values from the calculation:
**Raw formation energy**: -0.343 eV/atom
**ΔE to the lowest computed polymorph**: 149 meV per atom
**Symmetry**: R-3m, No. 166
**Spin magnetization**: 0.001 Bohr magnetons per cell

***

# 12
Density functional theory data (PBE) for a relaxed CoSi2Pt crystal.

a b c (Å): 4.991 4.991 4.991
angles (deg): 43.98 43.98 43.98
Element x y z (fractional)
Co (0.000, 0.000, 0.000)
Si (0.377, 0.377, 0.377)
Si (0.581, 0.581, 0.581)
Pt (0.807, 0.807, 0.807)

Values from the calculation:
**Raw formation energy**: -0.409 eV/atom
**ΔE to the lowest computed polymorph**: 83 meV per atom
**Symmetry**: R3m, No. 160
**Spin magnetization**: 0.000 Bohr magnetons per cell

***

# 13
Density functional theory data (PBE) for a relaxed Co2SiPt2 crystal.

a b c (Å): 5.843 5.843 3.949
angles (deg): 90.00 90.00 90.00
Element x y z (fractional)
Co (0.137, 0.363, 0.000)
Co (0.363, 0.863, 0.000)
Co (0.637, 0.137, 0.000)
Co (0.863, 0.637, 0.000)
Si (0.000, 0.000, 0.000)
Si (0.500, 0.500, 0.000)
Pt (0.164, 0.664, 0.500)
Pt (0.336, 0.164, 0.500)
Pt (0.664, 0.836, 0.500)
Pt (0.836, 0.336, 0.500)

Values from the calculation:
**Raw formation energy**: -0.112 eV/atom
**Symmetry**: P4/mbm, No. 127
**Spin magnetization**: 5.112 Bohr magnetons per cell

***

# 14
Density functional theory data (PBE) for a relaxed CoSi2Pt crystal.

a b c (Å): 6.174 6.174 6.174
angles (deg): 155.13 146.44 42.22
Element x y z (fractional)
Co (0.000, 0.000, 0.000)
Si (0.558, 0.558, 0.000)
Si (0.833, 0.333, 0.500)
Pt (0.223, 0.723, 0.500)

Values from the calculation:
**Raw formation energy**: -0.452 eV/atom
**ΔE to the lowest computed polymorph**: 39 meV per atom
**Symmetry**: Imm2, No. 44
**Spin magnetization**: 0.000 Bohr magnetons per cell